{
  "formula": "KH2F6",
  "functional": "GGA-PBE",
  "state": "relaxed",
  "lattice_angstrom": [[3.4051, -0.0143, 1.3767], [-0.1368, 8.6096, 5.1921], [-1.9581, 2.1308, 9.6295]],
  "species": ["K", "K", "H", "H", "H", "H", "F", "F", "F", "F", "F", "F", "F", "F", "F", "F", "F", "F"],
  "frac_coords": [[0.2500, 0.2502, 0.7498], [0.7500, 0.7498, 0.2502], [0.0347, 0.7621, 0.7393], [0.4653, 0.2607, 0.2379], [0.9653, 0.2379, 0.2607], [0.5347, 0.7393, 0.7621], [0.5811, 0.5667, 0.6031], [0.9189, 0.3969, 0.4333], [0.4189, 0.4333, 0.3969], [0.0811, 0.6031, 0.5667], [0.7393, 0.1600, 0.3386], [0.7607, 0.6614, 0.8400], [0.2607, 0.8400, 0.6614], [0.2393, 0.3386, 0.1600], [0.2430, 0.8973, 0.9336], [0.2570, 0.0664, 0.1027], [0.7570, 0.1027, 0.0664], [0.7430, 0.9336, 0.8973]],
  "energy_ev_per_cell": -61.5,
  "n_ef_per_ev_atom": 0.254
}